# PBE with a Hubbard U V2FeHO6, optimized geometry
# magnetization: 5.000 μB/f.u.
# calculated total energy: -277.7 eV/cell
data_V2FeHO6
_chemical_formula_sum 'V8 Fe4 H4 O24'
_space_group_name_H-M_alt 'C 1 2/c 1'
_space_group_IT_number 15
_space_group_name_Hall '-C 2yc'
_cell_length_a 10.3676
_cell_length_b 9.1871
_cell_length_c 5.2884
_cell_angle_alpha 90.00
_cell_angle_beta 102.32
_cell_angle_gamma 90.00
loop_
_atom_site_label
_atom_site_type_symbol
_atom_site_fract_x
_atom_site_fract_y
_atom_site_fract_z
V1 V 0.2386 0.1130 0.1376
Fe1 Fe 0.0000 0.3861 0.2500
H1 H 0.0000 0.3707 0.7500
O1 O 0.0921 0.3989 0.6511
O2 O 0.1564 0.2829 0.1215
O3 O 0.1734 0.0126 0.3845